Record 1
SrAcGaPd after structural relaxation, computed with PBE. Values from VASP.

Geometry as Quantum ESPRESSO input:
```
&SYSTEM
  ibrav = 0, nat = 4, ntyp = 4
/
ATOMIC_SPECIES
Pd 106.42 Pd.upf
Sr 87.62 Sr.upf
Ac 227.00 Ac.upf
Ga 69.72 Ga.upf
CELL_PARAMETERS angstrom
-1.3784 0.6047 -4.2235
-1.5973 -3.4271 2.4100
-4.4705 5.3270 4.5893
ATOMIC_POSITIONS angstrom
Pd -2.1325 0.1679 -2.3063
Sr -2.2394 2.1118 0.3878
Ac -5.2995 1.6861 6.0714
Ga -2.2335 -1.1543 -0.0830
```

Values from the calculation:
Calculated formation energy, meV per atom: -548
Energy, eV/f.u.: -16.2
Magnetization, μB per formula unit: 0.0
DOS(E_F), states/eV/cell: 3.66

=====

Record 2
SrAc2Ga4Pd3 after structural relaxation, computed with PBE. Values from VASP.

Geometry as Quantum ESPRESSO input:
```
&SYSTEM
  ibrav = 0, nat = 10, ntyp = 4
/
ATOMIC_SPECIES
Sr 87.62 Sr.upf
Pd 106.42 Pd.upf
Ac 227.00 Ac.upf
Ga 69.72 Ga.upf
CELL_PARAMETERS angstrom
4.4647 0.0000 0.0000
0.0000 4.4647 0.0000
0.0000 0.0000 11.9628
ATOMIC_POSITIONS angstrom
Sr 2.2323 2.2323 5.9814
Pd 0.0000 0.0000 5.9814
Pd 0.0000 2.2323 1.3342
Pd 2.2323 0.0000 10.6286
Ac 0.0000 2.2323 9.3655
Ac 2.2323 0.0000 2.5973
Ga 2.2323 2.2323 0.0000
Ga 0.0000 2.2323 3.8545
Ga 2.2323 0.0000 8.1083
Ga 0.0000 0.0000 0.0000
```

Values from the calculation:
Calculated formation energy, meV per atom: -616
Energy, eV/f.u.: -43.7
Magnetization, μB per formula unit: 0.0
DOS(E_F), states/eV/cell: 9.97

=====

Record 3
SrAc2Ga2Pd7 after structural relaxation, computed with PBE. Values from VASP.

Geometry as Quantum ESPRESSO input:
```
&SYSTEM
  ibrav = 0, nat = 12, ntyp = 4
/
ATOMIC_SPECIES
Ac 227.00 Ac.upf
Sr 87.62 Sr.upf
Pd 106.42 Pd.upf
Ga 69.72 Ga.upf
CELL_PARAMETERS angstrom
-1.7900 -1.6577 -3.5432
0.5018 -3.9908 1.5258
-13.0012 -1.2251 5.3144
ATOMIC_POSITIONS angstrom
Ac -5.7391 -5.4765 0.0742
Ac -8.5502 -1.3971 3.2228
Sr 0.0000 0.0000 0.0000
Pd -3.5112 -3.5549 -1.8519
Pd -11.9295 -2.1466 2.6025
Pd -6.0380 -2.6517 1.5095
Pd -0.6441 -2.8242 -1.0087
Pd -10.7781 -3.3187 5.1490
Pd -2.3598 -4.7270 0.6946
Pd -8.2513 -4.2219 1.7875
Ga -3.7503 -2.6727 0.4654
Ga -10.5391 -4.2008 2.8316
```

Values from the calculation:
Calculated formation energy, meV per atom: -693
Energy, eV/f.u.: -60.6
Magnetization, μB per formula unit: 0.0
DOS(E_F), states/eV/cell: 5.66